[1]
! SmHo2Mg, optimized geometry, DFT PBE; values from VASP
! Formation energy, eV per atom: 0.0832
! Offset from the most stable computed form, meV per atom: 112
! D(E_F), states/eV/f.u.: 5.5
&SYSTEM
  ibrav = 0, nat = 4, ntyp = 3
/
ATOMIC_SPECIES
Sm 150.36 Sm.upf
Ho 164.93 Ho.upf
Mg 24.30 Mg.upf
CELL_PARAMETERS angstrom
0.000 3.898 3.898
3.898 0.000 3.898
3.898 3.898 0.000
ATOMIC_POSITIONS crystal
Sm 0.000 0.000 0.000
Ho 0.250 0.250 0.250
Ho 0.750 0.750 0.750
Mg 0.500 0.500 0.500



[2]
! K5InO4, optimized geometry, DFT PBE; values from VASP
! Offset from the most stable computed form, meV per atom: 0
! D(E_F), states/eV/f.u.: 0.0
! Formation energy from raw total energies, eV/atom: -1.3079
&SYSTEM
  ibrav = 0, nat = 20, ntyp = 3
/
ATOMIC_SPECIES
K 39.10 K.upf
In 114.82 In.upf
O 16.00 O.upf
CELL_PARAMETERS angstrom
8.183 0.000 0.000
0.000 8.514 0.000
0.000 0.000 6.312
ATOMIC_POSITIONS crystal
K 0.011 0.059 0.241
K 0.011 0.441 0.241
K 0.250 0.750 0.330
K 0.489 0.059 0.241
K 0.489 0.441 0.241
K 0.511 0.559 0.759
K 0.511 0.941 0.759
K 0.750 0.250 0.670
K 0.989 0.559 0.759
K 0.989 0.941 0.759
In 0.250 0.250 0.713
In 0.750 0.750 0.287
O 0.029 0.250 0.891
O 0.250 0.037 0.534
O 0.250 0.463 0.534
O 0.471 0.250 0.891
O 0.529 0.750 0.109
O 0.750 0.537 0.466
O 0.750 0.963 0.466
O 0.971 0.750 0.109



[3]
! NaMg2MoN4, optimized geometry, DFT PBE; values from VASP
! D(E_F), states/eV/f.u.: 3.8
! Formation energy from raw total energies, eV/atom: -0.4544
&SYSTEM
  ibrav = 0, nat = 16, ntyp = 4
/
ATOMIC_SPECIES
Na 22.99 Na.upf
Mg 24.30 Mg.upf
Mo 95.94 Mo.upf
N 14.01 N.upf
CELL_PARAMETERS angstrom
7.180 0.000 0.000
0.000 5.869 0.000
0.000 0.000 5.469
ATOMIC_POSITIONS crystal
Na 0.000 0.169 0.000
Na 0.500 0.831 0.500
Mg 0.246 0.329 0.513
Mg 0.254 0.671 0.013
Mg 0.746 0.671 0.013
Mg 0.754 0.329 0.513
Mo 0.000 0.812 0.520
Mo 0.500 0.188 0.020
N 0.000 0.132 0.460
N 0.000 0.774 0.858
N 0.209 0.665 0.392
N 0.291 0.335 0.892
N 0.500 0.226 0.358
N 0.500 0.868 0.960
N 0.709 0.335 0.892
N 0.791 0.665 0.392



[4]
! Li2Zn5Ni2Pt, optimized geometry, DFT PBE; values from VASP
! Formation energy, eV per atom: -0.2598
! D(E_F), states/eV/f.u.: 3.4
&SYSTEM
  ibrav = 0, nat = 20, ntyp = 4
/
ATOMIC_SPECIES
Li 6.94 Li.upf
Zn 65.41 Zn.upf
Ni 58.69 Ni.upf
Pt 195.08 Pt.upf
CELL_PARAMETERS angstrom
8.663 0.000 0.000
0.000 8.663 0.000
0.000 0.000 3.806
ATOMIC_POSITIONS crystal
Li 0.175 0.325 0.000
Li 0.325 0.825 0.000
Li 0.675 0.175 0.000
Li 0.825 0.675 0.000
Zn 0.000 0.500 0.500
Zn 0.076 0.798 0.500
Zn 0.202 0.076 0.500
Zn 0.298 0.576 0.500
Zn 0.424 0.298 0.500
Zn 0.500 0.000 0.500
Zn 0.576 0.702 0.500
Zn 0.702 0.424 0.500
Zn 0.798 0.924 0.500
Zn 0.924 0.202 0.500
Ni 0.119 0.619 0.000
Ni 0.381 0.119 0.000
Ni 0.619 0.881 0.000
Ni 0.881 0.381 0.000
Pt 0.000 0.000 0.000
Pt 0.500 0.500 0.000



[5]
! SmHgBi4, optimized geometry, DFT PBE; values from VASP
! Formation energy, eV per atom: -0.1981
! D(E_F), states/eV/f.u.: 4.0
&SYSTEM
  ibrav = 0, nat = 6, ntyp = 3
/
ATOMIC_SPECIES
Sm 150.36 Sm.upf
Hg 200.59 Hg.upf
Bi 208.98 Bi.upf
CELL_PARAMETERS angstrom
5.785 -2.946 0.000
5.785 2.946 0.000
-3.805 0.000 5.441
ATOMIC_POSITIONS crystal
Sm 0.000 0.000 0.000
Hg 0.000 0.000 0.500
Bi 0.331 0.331 0.069
Bi 0.331 0.331 0.592
Bi 0.669 0.669 0.408
Bi 0.669 0.669 0.931



[6]
! TbNd2Er8, optimized geometry, DFT PBE; values from VASP
! Formation energy, eV per atom: 0.1602
! Offset from the most stable computed form, meV per atom: 138
! D(E_F), states/eV/f.u.: 14.7
&SYSTEM
  ibrav = 0, nat = 11, ntyp = 3
/
ATOMIC_SPECIES
Tb 158.93 Tb.upf
Nd 144.24 Nd.upf
Er 167.26 Er.upf
CELL_PARAMETERS angstrom
4.507 -7.982 0.000
4.507 7.982 0.000
-3.198 0.000 4.919
ATOMIC_POSITIONS crystal
Tb 0.000 0.000 0.000
Nd 0.307 0.693 0.500
Nd 0.693 0.307 0.500
Er 0.098 0.330 0.673
Er 0.208 0.792 0.000
Er 0.330 0.098 0.673
Er 0.429 0.429 0.204
Er 0.571 0.571 0.796
Er 0.670 0.902 0.327
Er 0.792 0.208 0.000
Er 0.902 0.670 0.327



Copy entry 1 word for word.
! SmHo2Mg, optimized geometry, DFT PBE; values from VASP
! Formation energy, eV per atom: 0.0832
! Offset from the most stable computed form, meV per atom: 112
! D(E_F), states/eV/f.u.: 5.5
&SYSTEM
  ibrav = 0, nat = 4, ntyp = 3
/
ATOMIC_SPECIES
Sm 150.36 Sm.upf
Ho 164.93 Ho.upf
Mg 24.30 Mg.upf
CELL_PARAMETERS angstrom
0.000 3.898 3.898
3.898 0.000 3.898
3.898 3.898 0.000
ATOMIC_POSITIONS crystal
Sm 0.000 0.000 0.000
Ho 0.250 0.250 0.250
Ho 0.750 0.750 0.750
Mg 0.500 0.500 0.500



> Among the records above, which one has the lowest D(E_F)?

K5InO4



> D(E_F) of number 1 (SmHo2Mg)?

5.5 states/eV/f.u.



What did the first record say?
! SmHo2Mg, optimized geometry, DFT PBE; values from VASP
! Formation energy, eV per atom: 0.0832
! Offset from the most stable computed form, meV per atom: 112
! D(E_F), states/eV/f.u.: 5.5
&SYSTEM
  ibrav = 0, nat = 4, ntyp = 3
/
ATOMIC_SPECIES
Sm 150.36 Sm.upf
Ho 164.93 Ho.upf
Mg 24.30 Mg.upf
CELL_PARAMETERS angstrom
0.000 3.898 3.898
3.898 0.000 3.898
3.898 3.898 0.000
ATOMIC_POSITIONS crystal
Sm 0.000 0.000 0.000
Ho 0.250 0.250 0.250
Ho 0.750 0.750 0.750
Mg 0.500 0.500 0.500